[1]
The following is a PBE-GGA calculation of a relaxed structure of SrGa3Ge3, from Alexandria.

a = 4.2589 Å, b = 10.1060 Å, c = 10.1053 Å
α = 120.01°, β = 90.00°, γ = 90.00°
Atoms (fractional coordinates):
Ge  0.2500  0.3254  0.9165
Ge  0.2500  0.0835  0.4089
Ga  0.7500  0.9308  0.3321
Ge  0.7500  0.6746  0.0835
Sr  0.7500  0.3333  0.6666
Ga  0.2500  0.0692  0.6679
Ga  0.2500  0.3320  0.4012
Ga  0.2500  0.5987  0.9308
Sr  0.2500  0.6667  0.3334
Ga  0.7500  0.4013  0.0692
Ge  0.7500  0.9165  0.5911
Ge  0.2500  0.5911  0.6746
Ga  0.7500  0.6680  0.5988
Ge  0.7500  0.4089  0.3254

Results
Space group: P6_3/m (176)
Crystal system: hexagonal
Excess energy over the best structure of this formula in the dataset (meV per atom): 0.0
DFT formation energy (eV per atom): -0.190

---

[2]
The following is a PBE-GGA calculation of a relaxed structure of Sr3GaGe4, from Alexandria.

a = 4.8434 Å, b = 5.9865 Å, c = 9.0132 Å
α = 109.40°, β = 105.59°, γ = 90.00°
Atoms (fractional coordinates):
Sr  0.0000  0.5000  0.0000
Ga  0.5000  0.0000  0.0000
Ge  0.3819  0.1780  0.7638
Ge  0.6181  0.8220  0.2362
Ge  0.3819  0.5858  0.7638
Ge  0.6181  0.4142  0.2362
Sr  0.8085  0.8085  0.6170
Sr  0.1915  0.1915  0.3830

Results
Space group: Immm (71)
Crystal system: orthorhombic
DFT formation energy (eV per atom): -0.385

---

[3]
The following is a PBE-GGA calculation of a relaxed structure of Sr3GaGe, from Alexandria.

a = 4.0603 Å, b = 9.1731 Å, c = 9.5430 Å
α = 95.34°, β = 90.00°, γ = 102.78°
Atoms (fractional coordinates):
Sr  0.7753  0.5835  0.3875
Sr  0.0710  0.1747  0.3810
Ge  0.6328  0.2979  0.1313
Ga  0.2349  0.5036  0.6477
Ge  0.4120  0.8563  0.2903
Ga  0.8081  0.6501  0.7736
Sr  0.4198  0.8732  0.6308
Sr  0.2688  0.5707  0.0341
Sr  0.6240  0.2808  0.7909
Sr  0.9732  0.9796  0.0407

Results
Space group: C2/m (12)
Crystal system: monoclinic
Excess energy over the best structure of this formula in the dataset (meV per atom): 0.0
DFT formation energy (eV per atom): -0.357

---

[4]
The following is a PBE-GGA calculation of a relaxed structure of Sr2GaGeTe5, from Alexandria.

a = 4.3536 Å, b = 10.4496 Å, c = 13.2112 Å
α = 90.00°, β = 90.00°, γ = 102.02°
Atoms (fractional coordinates):
Te  0.9496  0.8993  0.5608
Te  0.5027  0.0053  0.7785
Te  0.0504  0.1007  0.0608
Te  0.6947  0.3893  0.8683
Ge  0.7736  0.5471  0.5245
Sr  0.8907  0.7813  0.1773
Ga  0.4284  0.8567  0.4465
Te  0.4973  0.9947  0.2785
Ge  0.2264  0.4529  0.0245
Sr  0.1228  0.2456  0.3021
Sr  0.1093  0.2187  0.6773
Te  0.3579  0.7159  0.9933
Te  0.6421  0.2841  0.4933
Te  0.2747  0.5493  0.6726
Te  0.3053  0.6107  0.3683
Ga  0.5716  0.1433  0.9465
Te  0.7253  0.4507  0.1726
Sr  0.8772  0.7544  0.8021

Results
Space group: Cmc2_1 (36)
Crystal system: orthorhombic
E_form (uncorrected) (eV per atom): -0.834

---

[5]
The following is a PBE-GGA calculation of a relaxed structure of SrGaGe2Te, from Alexandria.

a = 4.9572 Å, b = 5.8704 Å, c = 4.9572 Å
α = 90.00°, β = 90.00°, γ = 90.00°
Atoms (fractional coordinates):
Te  0.0000  0.5000  0.0000
Ga  0.0000  0.0000  0.0000
Ge  0.0000  0.0000  0.5000
Ge  0.5000  0.0000  0.0000
Sr  0.5000  0.5000  0.5000

Results
Space group: P4/mmm (123)
Crystal system: tetragonal
E_form (uncorrected) (eV per atom): -0.080

---

[6]
The following is a PBE-GGA calculation of a relaxed structure of Sr2TiGaGe, from Alexandria.

a = 6.0263 Å, b = 4.7872 Å, c = 6.0263 Å
α = 90.00°, β = 90.00°, γ = 90.00°
Atoms (fractional coordinates):
Ge  0.0000  0.5000  0.0000
Ti  0.5000  0.5000  0.5000
Sr  0.5000  0.0000  0.0000
Ga  0.0000  0.0000  0.0000
Sr  0.0000  0.0000  0.5000

Results
Space group: P4/mmm (123)
Crystal system: tetragonal
DFT formation energy (eV per atom): 0.662

---

[7]
The following is a PBE-GGA calculation of a relaxed structure of Sr2TlGaGe, from Alexandria.

a = 6.0645 Å, b = 4.9124 Å, c = 6.0645 Å
α = 90.00°, β = 90.00°, γ = 90.00°
Atoms (fractional coordinates):
Sr  0.0000  0.0000  0.5000
Sr  0.5000  0.0000  0.0000
Tl  0.5000  0.5000  0.5000
Ga  0.0000  0.0000  0.0000
Ge  0.0000  0.5000  0.0000

Results
Space group: P4/mmm (123)
Crystal system: tetragonal
DFT formation energy (eV per atom): -0.052

---

[8]
The following is a PBE-GGA calculation of a relaxed structure of SrVGaGe2, from Alexandria.

a = 4.8043 Å, b = 4.8043 Å, c = 4.8654 Å
α = 90.00°, β = 90.00°, γ = 90.00°
Atoms (fractional coordinates):
V  0.0000  0.0000  0.0000
Ge  0.0000  0.5000  0.0000
Sr  0.5000  0.5000  0.5000
Ge  0.5000  0.0000  0.0000
Ga  0.0000  0.0000  0.5000

Results
Space group: P4/mmm (123)
Crystal system: tetragonal
DFT formation energy (eV per atom): -0.281

---

[9]
The following is a PBE-GGA calculation of a relaxed structure of Sr2ZnGa4Ge3, from Alexandria.

a = 4.6501 Å, b = 4.6501 Å, c = 10.2630 Å
α = 90.00°, β = 90.00°, γ = 90.00°
Atoms (fractional coordinates):
Ge  0.0000  0.0000  0.5000
Sr  0.0000  0.5000  0.7456
Ga  0.5000  0.5000  0.0000
Zn  0.5000  0.5000  0.5000
Ga  0.5000  0.0000  0.6257
Ge  0.0000  0.5000  0.1245
Ga  0.0000  0.0000  0.0000
Sr  0.5000  0.0000  0.2544
Ge  0.5000  0.0000  0.8755
Ga  0.0000  0.5000  0.3743

Results
Space group: P-4m2 (115)
Crystal system: tetragonal
DFT formation energy (eV per atom): -0.327

---

[10]
The following is a PBE-GGA calculation of a relaxed structure of SrZn2GaGe, from Alexandria.

a = 4.3123 Å, b = 4.3614 Å, c = 6.3238 Å
α = 110.17°, β = 109.94°, γ = 90.00°
Atoms (fractional coordinates):
Zn  0.0605  0.0605  0.1209
Ga  0.1877  0.6877  0.3754
Zn  0.6906  0.1906  0.3812
Sr  0.4422  0.4422  0.8844
Ge  0.8312  0.8312  0.6623

Results
Space group: Imm2 (44)
Crystal system: orthorhombic
DFT formation energy (eV per atom): -0.369

---

[11]
The following is a PBE-GGA calculation of a relaxed structure of Sr2Zn4GaGe3, from Alexandria.

a = 4.3570 Å, b = 4.3570 Å, c = 10.9003 Å
α = 90.00°, β = 90.00°, γ = 90.00°
Atoms (fractional coordinates):
Ge  0.5000  0.0000  0.8662
Zn  0.0000  0.0000  0.0000
Sr  0.5000  0.0000  0.2466
Zn  0.5000  0.0000  0.6345
Sr  0.0000  0.5000  0.7534
Ga  0.5000  0.5000  0.5000
Zn  0.5000  0.5000  0.0000
Ge  0.0000  0.0000  0.5000
Zn  0.0000  0.5000  0.3655
Ge  0.0000  0.5000  0.1338

Results
Space group: P-4m2 (115)
Crystal system: tetragonal
DFT formation energy (eV per atom): -0.385

---

[12]
The following is a PBE-GGA calculation of a relaxed structure of Sr2ZnGa3Ge4, from Alexandria.

a = 4.7079 Å, b = 4.7079 Å, c = 10.0066 Å
α = 90.00°, β = 90.00°, γ = 90.00°
Atoms (fractional coordinates):
Ga  0.5000  0.0000  0.8796
Ga  0.0000  0.5000  0.1204
Sr  0.0000  0.5000  0.7516
Zn  0.5000  0.5000  0.5000
Ge  0.0000  0.5000  0.3738
Ge  0.5000  0.5000  0.0000
Ge  0.0000  0.0000  0.0000
Ge  0.5000  0.0000  0.6262
Ga  0.0000  0.0000  0.5000
Sr  0.5000  0.0000  0.2484

Results
Space group: P-4m2 (115)
Crystal system: tetragonal
DFT formation energy (eV per atom): -0.332

---

no.,total magnetization (μB/f.u.)
1,0.0
2,0.0
3,0.3
4,0.0
5,0.0
6,0.0
7,0.0
8,0.0
9,0.0
10,0.0
11,0.0
12,0.0